Record 1
The following is a DFT calculation (PBE) of crystalline Ce2Si3Tc2 at its relaxed geometry.

density: 7.6 g/cm³
space-group type: C2/m (12)
uncorrected formation energy: -3.8 eV per formula unit
VASP energy: -7.5310 eV per atom

Cell lengths 4.125, 5.956, 6.424 Å; angles 122.23, 90.00, 110.26 degrees
Element x y z (fractional)
Tc 0.859 0.718 0.710
Tc 0.141 0.282 0.290
Si 0.595 0.191 0.450
Si 0.500 0.000 0.000
Si 0.405 0.809 0.550
Ce 0.840 0.681 0.166
Ce 0.160 0.319 0.834

Record 2
The following is a DFT calculation (PBE) of crystalline Ce7Si2Tc2 at its relaxed geometry.

density: 7.4 g/cm³
space-group type: Cmmm (65)
uncorrected formation energy: -1.6 eV per formula unit
VASP energy: -6.7916 eV per atom

Cell lengths 6.636, 6.576, 6.636 Å; angles 90.00, 107.98, 90.00 degrees
Last column: magnetic moment on the atom in μB.
Element x y z (fractional)
Ce 0.000 0.000 0.000  0.83
Ce 0.500 0.713 0.500  0.03
Ce 0.500 0.287 0.500  0.03
Ce 0.000 0.280 0.500  0.17
Ce 0.500 0.280 0.000  0.17
Ce 0.000 0.720 0.500  0.17
Ce 0.500 0.720 0.000  0.17
Tc 0.296 0.000 0.704  -0.04
Tc 0.704 0.000 0.296  -0.04
Si 0.153 0.500 0.153  -0.01
Si 0.847 0.500 0.847  -0.01

Record 3
The following is a DFT calculation (PBE) of crystalline CeSi4Tc4 at its relaxed geometry.

density: 7.4 g/cm³
space-group type: P4_2/nmc (137)
uncorrected formation energy: -4.8 eV per formula unit
VASP energy: -8.2087 eV per atom

Cell lengths 6.072, 6.072, 7.891 Å; angles 90.00, 90.00, 90.00 degrees
Last column: magnetic moment on the atom in μB.
Element x y z (fractional)
Si 0.000 0.694 0.664  0.00
Si 0.500 0.194 0.836  0.00
Si 0.500 0.806 0.836  0.00
Si 0.694 0.000 0.336  0.00
Si 0.000 0.306 0.664  0.00
Si 0.806 0.500 0.164  0.00
Si 0.306 0.000 0.336  0.00
Si 0.194 0.500 0.164  0.00
Tc 0.000 0.244 0.362  0.01
Tc 0.500 0.256 0.138  0.01
Tc 0.256 0.500 0.862  0.01
Tc 0.756 0.000 0.638  0.01
Tc 0.000 0.756 0.362  0.01
Tc 0.744 0.500 0.862  0.01
Tc 0.500 0.744 0.138  0.01
Tc 0.244 0.000 0.638  0.01
Ce 0.500 0.500 0.500  -0.09
Ce 0.000 0.000 0.000  -0.09

Record 4
The following is a DFT calculation (PBE) of crystalline Ce3Si3Tc2 at its relaxed geometry.

density: 7.1 g/cm³
space-group type: Pnma (62)
uncorrected formation energy: -4.3 eV per formula unit
VASP energy: -7.3918 eV per atom
excess energy over the best structure of this formula in the dataset: 0.000 eV/atom

Cell lengths 5.934, 7.476, 14.754 Å; angles 90.00, 90.00, 90.00 degrees
Last column: magnetic moment on the atom in μB.
Element x y z (fractional)
Ce 0.608 0.008 0.896  0.10
Ce 0.108 0.492 0.104  0.10
Ce 0.384 0.642 0.750  0.17
Ce 0.116 0.142 0.750  0.17
Ce 0.892 0.508 0.896  0.10
Ce 0.108 0.492 0.396  0.10
Ce 0.892 0.508 0.604  0.10
Ce 0.616 0.358 0.250  0.17
Ce 0.884 0.858 0.250  0.17
Ce 0.392 0.992 0.396  0.10
Ce 0.608 0.008 0.604  0.10
Ce 0.392 0.992 0.104  0.10
Si 0.581 0.361 0.456  0.00
Si 0.611 0.293 0.750  0.00
Si 0.081 0.139 0.956  0.00
Si 0.889 0.793 0.750  0.00
Si 0.081 0.139 0.544  0.00
Si 0.581 0.361 0.044  0.00
Si 0.919 0.861 0.044  0.00
Si 0.419 0.639 0.956  0.00
Si 0.919 0.861 0.456  0.00
Si 0.111 0.207 0.250  0.00
Si 0.419 0.639 0.544  0.00
Si 0.389 0.707 0.250  0.00
Tc 0.113 0.826 0.602  -0.01
Tc 0.387 0.326 0.602  -0.01
Tc 0.613 0.674 0.398  -0.01
Tc 0.387 0.326 0.898  -0.01
Tc 0.887 0.174 0.398  -0.01
Tc 0.113 0.826 0.898  -0.01
Tc 0.613 0.674 0.102  -0.01
Tc 0.887 0.174 0.102  -0.01

Record 5
The following is a DFT calculation (PBE) of crystalline CeSiTc3 at its relaxed geometry.

density: 7.4 g/cm³
space-group type: I-4m2 (119)
uncorrected formation energy: 1.6 eV per formula unit
VASP energy: -8.1773 eV per atom

Cell lengths 4.963, 4.963, 9.090 Å; angles 105.84, 105.84, 90.00 degrees
Last column: magnetic moment on the atom in μB.
Element x y z (fractional)
Si 0.000 0.000 0.000  -0.01
Si 0.250 0.750 0.500  -0.01
Tc 0.269 0.269 0.538  0.57
Tc 0.137 0.876 0.752  0.13
Tc 0.124 0.863 0.248  0.13
Tc 0.124 0.385 0.248  0.13
Tc 0.731 0.731 0.462  0.57
Tc 0.615 0.876 0.752  0.13
Ce 0.888 0.388 0.777  0.22
Ce 0.612 0.112 0.223  0.22

Record 6
The following is a DFT calculation (PBE) of crystalline Ce3SiTc4 at its relaxed geometry.

density: 8.5 g/cm³
space-group type: Imm2 (44)
uncorrected formation energy: -1.0 eV per formula unit
VASP energy: -8.2145 eV per atom

Cell lengths 6.214, 6.214, 6.214 Å; angles 115.27, 88.25, 127.14 degrees
Last column: magnetic moment on the atom in μB.
Element x y z (fractional)
Tc 0.550 0.266 0.284  0.01
Tc 0.254 0.309 0.563  -0.02
Tc 0.019 0.734 0.284  0.01
Tc 0.254 0.692 0.946  -0.02
Ce 0.932 0.000 0.932  0.70
Ce 0.561 0.770 0.331  0.23
Ce 0.561 0.230 0.791  0.23
Si 0.019 0.500 0.519  0.00

Record 7
The following is a DFT calculation (PBE) of crystalline Ce2SiTc3 at its relaxed geometry.

density: 9.2 g/cm³
space-group type: R-3m (166)
uncorrected formation energy: -2.1 eV per formula unit
VASP energy: -8.4140 eV per atom
excess energy over the best structure of this formula in the dataset: 0.000 eV/atom

Cell lengths 5.289, 5.289, 5.289 Å; angles 61.80, 61.80, 61.80 degrees
Element x y z (fractional)
Si 0.000 0.000 0.000
Ce 0.378 0.378 0.378
Ce 0.622 0.622 0.622
Tc 0.000 0.500 0.000
Tc 0.500 0.000 0.000
Tc 0.000 0.000 0.500

Record 8
The following is a DFT calculation (PBE) of crystalline Ce3Si3Tc2 at its relaxed geometry.

density: 7.2 g/cm³
space-group type: Immm (71)
uncorrected formation energy: -3.9 eV per formula unit
VASP energy: -7.3347 eV per atom
excess energy over the best structure of this formula in the dataset: 0.057 eV/atom

Cell lengths 4.076, 4.517, 9.326 Å; angles 104.02, 102.62, 90.00 degrees
Last column: magnetic moment on the atom in μB.
Element x y z (fractional)
Ce 0.633 0.633 0.267  0.10
Ce 0.367 0.367 0.733  0.10
Ce 0.500 0.000 0.000  0.42
Tc 0.753 0.253 0.506  0.01
Tc 0.247 0.747 0.494  0.01
Si 0.000 0.500 0.000  -0.01
Si 0.177 0.177 0.355  0.00
Si 0.823 0.823 0.645  0.00

Record 9
The following is a DFT calculation (PBE) of crystalline Ce2Si4Tc3 at its relaxed geometry.

density: 7.5 g/cm³
space-group type: P2_1/c (14)
uncorrected formation energy: -5.9 eV per formula unit
VASP energy: -7.8376 eV per atom
excess energy over the best structure of this formula in the dataset: 0.000 eV/atom

Cell lengths 7.018, 6.825, 6.756 Å; angles 90.00, 90.00, 111.01 degrees
Element x y z (fractional)
Si 0.633 0.485 0.650
Si 0.367 0.515 0.350
Si 0.133 0.485 0.850
Si 0.882 0.108 0.561
Si 0.382 0.108 0.939
Si 0.618 0.892 0.061
Si 0.118 0.892 0.439
Si 0.867 0.515 0.150
Tc 0.241 0.755 0.141
Tc 0.759 0.245 0.859
Tc 0.500 0.500 0.000
Tc 0.259 0.245 0.641
Tc 0.741 0.755 0.359
Tc 0.000 0.500 0.500
Ce 0.450 0.815 0.660
Ce 0.550 0.185 0.340
Ce 0.950 0.815 0.840
Ce 0.050 0.185 0.160

Record 10
The following is a DFT calculation (PBE) of crystalline Ce3Si2Tc4 at its relaxed geometry.

density: 8.0 g/cm³
space-group type: C2/m (12)
uncorrected formation energy: -2.7 eV per formula unit
VASP energy: -8.0928 eV per atom

Cell lengths 4.220, 5.845, 7.848 Å; angles 95.61, 90.00, 111.16 degrees
Element x y z (fractional)
Si 0.649 0.297 0.783
Si 0.351 0.703 0.217
Tc 0.734 0.468 0.103
Tc 0.071 0.142 0.630
Tc 0.929 0.858 0.370
Tc 0.266 0.532 0.897
Ce 0.000 0.000 0.000
Ce 0.366 0.732 0.641
Ce 0.634 0.268 0.359

Record 11
The following is a DFT calculation (PBE) of crystalline Ce6SiTc2 at its relaxed geometry.

density: 8.3 g/cm³
space-group type: C2/m (12)
uncorrected formation energy: -1.9 eV per formula unit
VASP energy: -7.0761 eV per atom
excess energy over the best structure of this formula in the dataset: 0.000 eV/atom

Cell lengths 4.949, 5.594, 8.623 Å; angles 96.16, 90.02, 116.25 degrees
Element x y z (fractional)
Ce 0.613 0.225 0.170
Ce 0.954 0.909 0.151
Ce 0.387 0.775 0.830
Ce 0.046 0.091 0.849
Ce 0.687 0.374 0.602
Ce 0.313 0.626 0.398
Tc 0.275 0.550 0.120
Tc 0.725 0.450 0.880
Si 0.000 0.000 0.500